Entry 1:
{
  "formula": "AlAu3Cl",
  "functional": "PBE",
  "state": "relaxed",
  "formation_energy_uncorrected_ev_per_atom": 0.37,
  "polymorph_energy_mev_per_atom": 0.0,
  "cell": [[4.918, 0.000, 0.000], [0.000, 4.918, 0.000], [0.000, 0.000, 4.918]],
  "species": ["Al", "Au", "Au", "Au", "Cl"],
  "fractional_positions": [[0.000, 0.000, 0.000], [0.000, 0.000, 0.500], [0.000, 0.500, 0.000], [0.500, 0.000, 0.000], [0.500, 0.500, 0.500]]
}

---

Entry 2:
{
  "formula": "BeCuSe2",
  "functional": "PBE",
  "state": "relaxed",
  "formation_energy_uncorrected_ev_per_atom": 0.11,
  "cell": [[3.350, 0.000, 0.000], [0.000, 3.367, 0.000], [0.000, 0.000, 8.580]],
  "species": ["Be", "Cu", "Se", "Se"],
  "fractional_positions": [[0.000, 0.000, 0.000], [0.000, 0.500, 0.500], [0.500, 0.000, 0.500], [0.500, 0.500, 0.000]]
}

---

Entry 3:
{
  "formula": "GdMgZn",
  "functional": "PBE",
  "state": "relaxed",
  "formation_enthalpy_0k_mev_per_atom": -191,
  "cell": [[4.841, 0.000, 0.000], [-2.420, 4.192, 0.000], [0.000, 0.000, 3.467]],
  "species": ["Gd", "Mg", "Zn"],
  "fractional_positions": [[0.000, 0.000, 0.000], [0.333, 0.667, 0.500], [0.667, 0.333, 0.500]]
}

---

Entry 4:
{
  "formula": "Ba2ZrAs",
  "functional": "PBE",
  "state": "relaxed",
  "formation_enthalpy_0k_mev_per_atom": -84,
  "cell": [[-5.936, 5.936, 2.610], [5.936, -5.936, 2.610], [5.936, 5.936, -2.610]],
  "species": ["Ba", "Ba", "Ba", "Ba", "Zr", "Zr", "As", "As"],
  "fractional_positions": [[0.375, 0.226, 0.351], [0.774, 0.125, 0.149], [0.875, 0.024, 0.649], [0.976, 0.625, 0.851], [0.250, 0.750, 0.500], [0.500, 0.500, 0.000], [0.000, 0.000, 0.000], [0.750, 0.250, 0.500]]
}

---

Entry 5:
{
  "formula": "Tl2AsPb8",
  "functional": "PBE",
  "state": "relaxed",
  "formation_enthalpy_0k_mev_per_atom": 51,
  "cell": [[19.564, -1.796, 0.000], [19.564, 1.796, 0.000], [-0.440, 0.000, 4.792]],
  "species": ["Tl", "Tl", "As", "Pb", "Pb", "Pb", "Pb", "Pb", "Pb", "Pb", "Pb"],
  "fractional_positions": [[0.227, 0.227, 0.236], [0.773, 0.773, 0.764], [0.500, 0.500, 0.500], [0.041, 0.041, 0.118], [0.135, 0.135, 0.176], [0.321, 0.321, 0.296], [0.414, 0.414, 0.358], [0.586, 0.586, 0.642], [0.679, 0.679, 0.704], [0.865, 0.865, 0.824], [0.959, 0.959, 0.882]]
}

---

Entry 6:
{
  "formula": "AcTlSeS",
  "functional": "PBE",
  "state": "relaxed",
  "formation_energy_uncorrected_ev_per_atom": -1.47,
  "polymorph_energy_mev_per_atom": 0.0,
  "cell": [[2.252, 1.300, 7.584], [-2.252, 1.300, 7.584], [0.000, -2.600, 7.584]],
  "species": ["Ac", "Tl", "Se", "S"],
  "fractional_positions": [[0.000, 0.000, 0.000], [0.502, 0.502, 0.502], [0.745, 0.745, 0.745], [0.270, 0.270, 0.270]]
}

---

Entry 7:
{
  "formula": "BeReTeN2",
  "functional": "PBE",
  "state": "relaxed",
  "formation_energy_uncorrected_ev_per_atom": 1.86,
  "polymorph_energy_mev_per_atom": 1246.7,
  "cell": [[3.693, 0.000, 0.000], [0.000, 3.693, 0.000], [0.000, 0.000, 4.938]],
  "species": ["Be", "Re", "Te", "N", "N"],
  "fractional_positions": [[0.000, 0.000, 0.000], [0.500, 0.500, 0.500], [0.000, 0.000, 0.500], [0.000, 0.500, 0.000], [0.500, 0.000, 0.000]]
}

---

Entry 8:
{
  "formula": "TlVMo3",
  "functional": "PBE",
  "state": "relaxed",
  "formation_enthalpy_0k_mev_per_atom": 2814,
  "cell": [[4.948, 0.000, 0.000], [0.000, 4.948, 0.000], [0.000, 0.000, 4.948]],
  "species": ["Tl", "V", "Mo", "Mo", "Mo"],
  "fractional_positions": [[0.000, 0.000, 0.000], [0.500, 0.500, 0.500], [0.000, 0.000, 0.500], [0.000, 0.500, 0.000], [0.500, 0.000, 0.000]]
}

---

Entry 9:
{
  "formula": "Rb3AuS3",
  "functional": "PBE",
  "state": "relaxed",
  "formation_energy_uncorrected_ev_per_atom": -0.66,
  "cell": [[9.591, 0.000, 0.000], [-4.795, 8.306, 0.000], [0.000, 0.000, 6.775]],
  "species": ["Rb", "Rb", "Rb", "Rb", "Rb", "Rb", "Au", "Au", "S", "S", "S", "S", "S", "S"],
  "fractional_positions": [[0.087, 0.374, 0.250], [0.287, 0.913, 0.250], [0.374, 0.287, 0.750], [0.626, 0.713, 0.250], [0.713, 0.087, 0.750], [0.913, 0.626, 0.750], [0.333, 0.667, 0.750], [0.667, 0.333, 0.250], [0.106, 0.408, 0.750], [0.302, 0.894, 0.750], [0.408, 0.302, 0.250], [0.592, 0.698, 0.750], [0.698, 0.106, 0.250], [0.894, 0.592, 0.250]]
}

---

Entry 10:
{
  "formula": "CsAlZn",
  "functional": "PBE",
  "state": "relaxed",
  "formation_enthalpy_0k_mev_per_atom": 99,
  "cell": [[4.232, -2.135, 0.000], [4.232, 2.135, 0.000], [-0.980, 0.000, 12.731]],
  "species": ["Cs", "Cs", "Al", "Al", "Zn", "Zn"],
  "fractional_positions": [[0.193, 0.193, 0.206], [0.807, 0.807, 0.794], [0.135, 0.135, 0.562], [0.865, 0.865, 0.438], [0.435, 0.435, 0.587], [0.565, 0.565, 0.413]]
}

---

Entry 11:
{
  "formula": "RbTi2TlO6",
  "functional": "PBE",
  "state": "relaxed",
  "formation_energy_uncorrected_ev_per_atom": -2.21,
  "cell": [[4.773, -6.166, 0.000], [4.773, 6.166, 0.000], [-2.414, 0.000, 6.053]],
  "species": ["Rb", "Rb", "Ti", "Ti", "Ti", "Ti", "Tl", "Tl", "O", "O", "O", "O", "O", "O", "O", "O", "O", "O", "O", "O"],
  "fractional_positions": [[0.104, 0.896, 0.750], [0.896, 0.104, 0.250], [0.287, 0.431, 0.836], [0.431, 0.287, 0.336], [0.569, 0.713, 0.664], [0.713, 0.569, 0.164], [0.214, 0.786, 0.250], [0.786, 0.214, 0.750], [0.066, 0.246, 0.721], [0.212, 0.627, 0.939], [0.246, 0.066, 0.221], [0.356, 0.412, 0.564], [0.373, 0.788, 0.561], [0.412, 0.356, 0.064], [0.588, 0.644, 0.936], [0.627, 0.212, 0.439], [0.644, 0.588, 0.436], [0.754, 0.934, 0.779], [0.788, 0.373, 0.061], [0.934, 0.754, 0.279]]
}

---

Entry 12:
{
  "formula": "TmOsS2",
  "functional": "PBE",
  "state": "relaxed",
  "formation_energy_uncorrected_ev_per_atom": -0.25,
  "cell": [[1.852, 1.069, 7.451], [-1.852, 1.069, 7.451], [0.000, -2.138, 7.451]],
  "species": ["Tm", "Os", "S", "S"],
  "fractional_positions": [[0.000, 0.000, 0.000], [0.500, 0.500, 0.500], [0.118, 0.118, 0.118], [0.882, 0.882, 0.882]]
}

---

Entry 13:
{
  "formula": "Tb4GaRh",
  "functional": "PBE",
  "state": "relaxed",
  "polymorph_energy_mev_per_atom": 0.0,
  "formation_enthalpy_0k_mev_per_atom": -549,
  "cell": [[0.000, 6.739, 6.739], [6.739, 0.000, 6.739], [6.739, 6.739, 0.000]],
  "species": ["Tb", "Tb", "Tb", "Tb", "Tb", "Tb", "Tb", "Tb", "Tb", "Tb", "Tb", "Tb", "Tb", "Tb", "Tb", "Tb", "Ga", "Ga", "Ga", "Ga", "Rh", "Rh", "Rh", "Rh"],
  "fractional_positions": [[0.187, 0.187, 0.813], [0.187, 0.813, 0.187], [0.187, 0.813, 0.813], [0.396, 0.396, 0.396], [0.396, 0.396, 0.813], [0.396, 0.813, 0.396], [0.557, 0.557, 0.943], [0.557, 0.943, 0.557], [0.557, 0.943, 0.943], [0.813, 0.187, 0.187], [0.813, 0.187, 0.813], [0.813, 0.396, 0.396], [0.813, 0.813, 0.187], [0.943, 0.557, 0.557], [0.943, 0.557, 0.943], [0.943, 0.943, 0.557], [0.168, 0.168, 0.168], [0.168, 0.168, 0.495], [0.168, 0.495, 0.168], [0.495, 0.168, 0.168], [0.180, 0.607, 0.607], [0.607, 0.180, 0.607], [0.607, 0.607, 0.180], [0.607, 0.607, 0.607]]
}

---

Entry 14:
{
  "formula": "La8Ni3OsCl4",
  "functional": "PBE",
  "state": "relaxed",
  "formation_energy_uncorrected_ev_per_atom": -1.00,
  "cell": [[4.124, 2.381, 7.630], [-4.124, 2.381, 7.630], [0.000, -4.762, 7.630]],
  "species": ["La", "La", "La", "La", "La", "La", "La", "La", "Ni", "Ni", "Ni", "Os", "Cl", "Cl", "Cl", "Cl"],
  "fractional_positions": [[0.233, 0.233, 0.233], [0.238, 0.733, 0.733], [0.267, 0.267, 0.762], [0.267, 0.762, 0.267], [0.733, 0.238, 0.733], [0.733, 0.733, 0.238], [0.762, 0.267, 0.267], [0.767, 0.767, 0.767], [0.000, 0.000, 0.500], [0.000, 0.500, 0.000], [0.500, 0.000, 0.000], [0.500, 0.500, 0.500], [0.000, 0.000, 0.000], [0.000, 0.500, 0.500], [0.500, 0.000, 0.500], [0.500, 0.500, 0.000]]
}

---

Entry 15:
{
  "formula": "YZrPt2",
  "functional": "PBE",
  "state": "relaxed",
  "formation_enthalpy_0k_mev_per_atom": -872,
  "cell": [[-2.054, 2.054, 4.647], [2.054, -2.054, 4.647], [2.054, 2.054, -4.647]],
  "species": ["Y", "Zr", "Pt", "Pt"],
  "fractional_positions": [[0.000, 0.000, 0.000], [0.750, 0.250, 0.500], [0.250, 0.750, 0.500], [0.500, 0.500, 0.000]]
}

---

Entry 16:
{
  "formula": "Ca2TiSi2",
  "functional": "PBE",
  "state": "relaxed",
  "formation_energy_uncorrected_ev_per_atom": 0.18,
  "polymorph_energy_mev_per_atom": 494.6,
  "cell": [[8.500, 0.000, 0.000], [0.000, 8.500, 0.000], [0.000, 0.000, 3.073]],
  "species": ["Ca", "Ca", "Ca", "Ca", "Ti", "Ti", "Si", "Si", "Si", "Si"],
  "fractional_positions": [[0.124, 0.376, 0.000], [0.376, 0.876, 0.000], [0.624, 0.124, 0.000], [0.876, 0.624, 0.000], [0.000, 0.000, 0.000], [0.500, 0.500, 0.000], [0.176, 0.676, 0.500], [0.324, 0.176, 0.500], [0.676, 0.824, 0.500], [0.824, 0.324, 0.500]]
}

---

Entry 17:
{
  "formula": "TcRh2",
  "functional": "PBE",
  "state": "relaxed",
  "polymorph_energy_mev_per_atom": 65.3,
  "formation_enthalpy_0k_mev_per_atom": -80,
  "cell": [[-1.934, 1.934, 11.435], [1.934, -1.934, 11.435], [1.934, 1.934, -11.435]],
  "species": ["Tc", "Tc", "Tc", "Tc", "Rh", "Rh", "Rh", "Rh", "Rh", "Rh", "Rh", "Rh"],
  "fractional_positions": [[0.289, 0.539, 0.750], [0.461, 0.711, 0.750], [0.539, 0.289, 0.250], [0.711, 0.461, 0.250], [0.041, 0.791, 0.250], [0.123, 0.373, 0.750], [0.209, 0.959, 0.250], [0.373, 0.123, 0.250], [0.627, 0.877, 0.750], [0.791, 0.041, 0.750], [0.877, 0.627, 0.250], [0.959, 0.209, 0.750]]
}

---

Entry 18:
{
  "formula": "La12Sm3Ho",
  "functional": "PBE",
  "state": "relaxed",
  "formation_enthalpy_0k_mev_per_atom": 8,
  "cell": [[5.226, 0.000, 0.000], [0.000, 5.226, 0.000], [0.000, 0.000, 20.900]],
  "species": ["La", "La", "La", "La", "La", "La", "La", "La", "La", "La", "La", "La", "Sm", "Sm", "Sm", "Ho"],
  "fractional_positions": [[0.000, 0.000, 0.000], [0.000, 0.000, 0.249], [0.000, 0.000, 0.500], [0.000, 0.000, 0.751], [0.000, 0.500, 0.124], [0.000, 0.500, 0.374], [0.000, 0.500, 0.626], [0.000, 0.500, 0.876], [0.500, 0.000, 0.124], [0.500, 0.000, 0.374], [0.500, 0.000, 0.626], [0.500, 0.000, 0.876], [0.500, 0.500, 0.249], [0.500, 0.500, 0.500], [0.500, 0.500, 0.751], [0.500, 0.500, 0.000]]
}

---

Entry 19:
{
  "formula": "Be2Rh3",
  "functional": "PBE",
  "state": "relaxed",
  "polymorph_energy_mev_per_atom": 10.0,
  "formation_enthalpy_0k_mev_per_atom": -246,
  "cell": [[1.362, 0.786, 9.371], [-1.362, 0.786, 9.371], [0.000, -1.573, 9.371]],
  "species": ["Be", "Be", "Rh", "Rh", "Rh"],
  "fractional_positions": [[0.103, 0.103, 0.103], [0.897, 0.897, 0.897], [0.292, 0.292, 0.292], [0.500, 0.500, 0.500], [0.708, 0.708, 0.708]]
}

---

Entry 20:
{
  "formula": "TlAgF2",
  "functional": "PBE",
  "state": "relaxed",
  "formation_energy_uncorrected_ev_per_atom": -1.32,
  "polymorph_energy_mev_per_atom": 15.5,
  "cell": [[1.886, 1.089, 6.099], [-1.886, 1.089, 6.099], [0.000, -2.178, 6.099]],
  "species": ["Tl", "Ag", "F", "F"],
  "fractional_positions": [[0.000, 0.000, 0.000], [0.831, 0.831, 0.831], [0.237, 0.237, 0.237], [0.427, 0.427, 0.427]]
}

---

The records above give, respectively, V values of 118.9, 96.8, 70.3, 367.8, 336.8, 133.2, 67.3, 121.1, 539.7, 230.0, 356.3, 88.5, 612.2, 449.6, 78.4, 222.0, 171.2, 570.8, 60.2, 75.1 Å³/cell.
The records above give, respectively, total energy values of -13.55, -14.36, -17.52, -34.76, -38.49, -19.97, -26.68, -29.91, -46.33, -11.15, -141.93, -24.96, -128.76, -91.33, -30.58, -43.66, -101.24, -77.74, -30.74, -14.25 eV/cell.